1.
Compound: LaTc2Pb
Source: Alexandria
Functional: PBEsol
Structure: optimized geometry

a = 3.0650 Å, b = 5.5331 Å, c = 5.5331 Å
α = 109.68°, β = 105.46°, γ = 105.46°
Element x y z (fractional)
Tc 0.0000 0.0000 0.5000
La 0.5000 0.0000 0.0000
Pb 0.5000 0.5000 0.5000
Tc 0.0000 0.5000 0.0000

Computed properties:
**Formation energy**: 0.579 eV per atom
**Symmetry**: No. 12
**Calculated volume**: 78.3 Å³ per cell
**Total magnetization**: 0.0 μB per cell
**DOS at the Fermi energy**: 4.3 states/eV/f.u.
**Raw total energy**: -0.543 Ry per atom

2.
Compound: Ti3MnCu2S8
Source: Alexandria
Functional: PBEsol
Structure: optimized geometry

a = 6.9032 Å, b = 6.9032 Å, c = 7.0025 Å
α = 60.47°, β = 60.47°, γ = 60.00°
Site moments in Bohr magnetons follow the coordinates.
Element x y z (fractional)
S 0.7340 0.2578 0.7505  -0.01
Cu 0.1259 0.1259 0.6224  -0.01
Ti 0.0000 0.5000 0.0000  0.14
S 0.2578 0.2578 0.7505  -0.01
Cu 0.8741 0.8741 0.3776  -0.01
S 0.7462 0.7462 0.7615  -0.01
S 0.2660 0.7422 0.2495  -0.01
S 0.7422 0.2660 0.2495  -0.01
S 0.2578 0.7340 0.7505  -0.01
S 0.7422 0.7422 0.2495  -0.01
Mn 0.5000 0.5000 0.5000  3.21
S 0.2538 0.2538 0.2385  -0.01
Ti 0.5000 0.5000 0.0000  0.14
Ti 0.5000 0.0000 0.0000  0.14

Computed properties:
**Symmetry**: No. 166
**Calculated volume**: 237.6 Å³ per cell
**Total magnetization**: 3.8 μB per cell
**DOS at the Fermi energy**: 7.2 states/eV/f.u.
**Raw total energy**: -0.488 Ry per atom
**Energy relative to the elements, uncorrected**: -1039 meV per atom

3.
Compound: Mg2HgBr
Source: Alexandria
Functional: PBEsol
Structure: optimized geometry

a = 5.1626 Å, b = 5.1626 Å, c = 5.1626 Å
α = 60.00°, β = 60.00°, γ = 60.00°
Element x y z (fractional)
Mg 0.2500 0.2500 0.2500
Mg 0.7500 0.7500 0.7500
Hg 0.5000 0.5000 0.5000
Br 0.0000 0.0000 0.0000

Computed properties:
**Symmetry**: No. 225
**Calculated volume**: 97.3 Å³ per cell
**Total magnetization**: 0.0 μB per cell
**DOS at the Fermi energy**: 4.7 states/eV/f.u.
**Raw total energy**: -0.121 Ry per atom
**Energy relative to the elements, uncorrected**: -173 meV per atom
**Energy above the most stable polymorph in this dataset**: 172 meV/atom

- total magnetization of number 1 (LaTc2Pb)?
  0.0 μB per cell